Entry 1:
Here is a geometry-optimized Y4MgTa structure from the Alexandria database. Energies are from PBE-GGA.

Values from the calculation:
Space group = F-43m, No. 216
ΔH_f (0 K) = 4.15 eV per formula unit
ρ = 5.5 g/cm³
Magnetization = 1.30 μB/f.u.
Final energy = -5.859 eV/atom

a = 6.2179 Å, b = 6.2179 Å, c = 6.2179 Å
α = 60.00°, β = 60.00°, γ = 60.00°
Closest atoms and distances in Å follow each position.
Atoms (fractional coordinates):
Y (0.3766, 0.3766, 0.3766)  6 Y 3.07-3.15
Y (0.3766, 0.3766, 0.8703)  6 Y 3.07-3.15
Y (0.3766, 0.8703, 0.3766)  6 Y 3.07-3.15
Y (0.8703, 0.3766, 0.3766)  6 Y 3.07-3.15
Mg (0.0000, 0.0000, 0.0000)  12 Y 3.65, 4 Ta 3.81
Ta (0.7500, 0.7500, 0.7500)  12 Y 3.64, 4 Mg 3.81

Entry 2:
Here is a geometry-optimized YMgTa2 structure from the Alexandria database. Energies are from PBE-GGA.

Values from the calculation:
Space group = P4/mmm, No. 123
ΔH_f (0 K) = 2.51 eV per formula unit
ρ = 9.1 g/cm³
Magnetization = 0.00 μB/f.u.
Final energy = -7.313 eV/atom

a = 3.5253 Å, b = 3.5253 Å, c = 6.9653 Å
α = 90.00°, β = 90.00°, γ = 90.00°
Closest atoms and distances in Å follow each position.
Atoms (fractional coordinates):
Y (0.0000, 0.0000, 0.0000)  8 Ta 3.27, 2 Mg 3.48, 4 Y 3.53
Mg (0.0000, 0.0000, 0.5000)  8 Ta 2.85
Ta (0.5000, 0.5000, 0.3028)  1 Ta 2.75, 4 Mg 2.85
Ta (0.5000, 0.5000, 0.6972)  1 Ta 2.75, 4 Mg 2.85

Entry 3:
Here is a geometry-optimized YMgTa2 structure from the Alexandria database. Energies are from PBE-GGA.

Values from the calculation:
Space group = P2/m, No. 10
ΔH_f (0 K) = 1.61 eV per formula unit
ρ = 9.2 g/cm³
Magnetization = 0.00 μB/f.u.
Final energy = -7.538 eV/atom

a = 3.0006 Å, b = 5.1970 Å, c = 5.5942 Å
α = 90.00°, β = 101.67°, γ = 90.00°
Closest atoms and distances in Å follow each position.
Atoms (fractional coordinates):
Y (0.0000, 0.0000, 0.0000)  2 Mg 2.89, 2 Y 3.00
Mg (0.5000, 0.0000, 0.5000)  2 Y 2.89, 4 Ta 2.99, 2 Mg 3.00
Ta (0.3337, 0.5000, 0.7326)  5 Ta 2.95-3.00, 2 Mg 2.99, 2 Y 3.26
Ta (0.6663, 0.5000, 0.2674)  5 Ta 2.95-3.00, 2 Mg 2.99, 2 Y 3.26

Entry 4:
Here is a geometry-optimized YMgTa2 structure from the Alexandria database. Energies are from PBE-GGA.

Values from the calculation:
Space group = Cmmm, No. 65
ΔH_f (0 K) = 1.76 eV per formula unit
ρ = 9.4 g/cm³
Magnetization = 0.00 μB/f.u.
Final energy = -7.500 eV/atom

a = 2.9188 Å, b = 2.9188 Å, c = 9.8479 Å
α = 90.00°, β = 90.00°, γ = 90.68°
Closest atoms and distances in Å follow each position.
Atoms (fractional coordinates):
Y (0.0000, 0.0000, 0.0000)  4 Y 2.92
Mg (0.0000, 0.0000, 0.5000)  4 Mg 2.92, 8 Ta 3.13-3.15
Ta (0.5000, 0.5000, 0.2598)  4 Ta 2.92, 4 Mg 3.13-3.15
Ta (0.5000, 0.5000, 0.7402)  4 Ta 2.92, 4 Mg 3.13-3.15

Entry 5:
Here is a geometry-optimized YMg2Ta structure from the Alexandria database. Energies are from PBE-GGA.

Values from the calculation:
Space group = Pmmm, No. 47
ΔH_f (0 K) = 1.19 eV per formula unit
Polymorph energy (0 for the lowest one) = 0.113 eV/atom
ρ = 5.9 g/cm³
Magnetization = 0.00 μB/f.u.
Final energy = -5.079 eV/atom

a = 3.1391 Å, b = 4.3388 Å, c = 6.5759 Å
α = 90.00°, β = 90.00°, γ = 90.00°
Closest atoms and distances in Å follow each position.
Atoms (fractional coordinates):
Y (0.0000, 0.0000, 0.0000)  2 Y 3.14, 8 Mg 3.25, 2 Ta 3.29
Mg (0.5000, 0.5000, 0.2791)  3 Mg 2.90-3.14, 4 Ta 3.05, 4 Y 3.25
Mg (0.5000, 0.5000, 0.7209)  3 Mg 2.90-3.14, 4 Ta 3.05, 4 Y 3.25
Ta (0.0000, 0.0000, 0.5000)  8 Mg 3.05, 2 Ta 3.14, 2 Y 3.29

Entry 6:
Here is a geometry-optimized YMgTa2 structure from the Alexandria database. Energies are from PBE-GGA.

Values from the calculation:
Space group = R-3m, No. 166
ΔH_f (0 K) = 1.87 eV per formula unit
ρ = 9.2 g/cm³
Magnetization = 0.00 μB/f.u.
Final energy = -7.473 eV/atom

a = 10.7285 Å, b = 10.7285 Å, c = 10.7285 Å
α = 16.35°, β = 16.35°, γ = 16.35°
Closest atoms and distances in Å follow each position.
Atoms (fractional coordinates):
Y (0.0000, 0.0000, 0.0000)  6 Y 3.05, 6 Ta 3.26
Mg (0.5000, 0.5000, 0.5000)  6 Mg 3.05, 6 Ta 3.10
Ta (0.2469, 0.2469, 0.2469)  6 Ta 3.05, 3 Mg 3.10, 3 Y 3.26
Ta (0.7531, 0.7531, 0.7531)  6 Ta 3.05, 3 Mg 3.10, 3 Y 3.26

Entry 7:
Here is a geometry-optimized YMgTa2 structure from the Alexandria database. Energies are from PBE-GGA.

Values from the calculation:
Space group = Cm, No. 8
ΔH_f (0 K) = 1.49 eV per formula unit
ρ = 9.0 g/cm³
Magnetization = 0.00 μB/f.u.
Final energy = -7.568 eV/atom

a = 5.1451 Å, b = 5.1451 Å, c = 5.9562 Å
α = 95.08°, β = 95.08°, γ = 33.78°
Closest atoms and distances in Å follow each position.
Atoms (fractional coordinates):
Y (0.0000, 0.0000, 0.0000)  2 Y 2.99, 3 Mg 3.03-3.23, 5 Ta 3.05-3.33
Mg (0.2444, 0.2444, 0.7270)  2 Mg 2.99, 5 Ta 3.01-3.10, 3 Y 3.03-3.23
Ta (0.5014, 0.5014, 0.4723)  5 Ta 2.87-2.99, 3 Mg 3.07-3.10, 2 Y 3.18
Ta (0.7616, 0.7616, 0.2924)  5 Ta 2.87-2.99, 2 Mg 3.01, 1 Y 3.05

Entry 8:
Here is a geometry-optimized YMgTa2 structure from the Alexandria database. Energies are from PBE-GGA.

Values from the calculation:
Space group = I4_1/amd, No. 141
ΔH_f (0 K) = 4.94 eV per formula unit
ρ = 6.8 g/cm³
Magnetization = 0.00 μB/f.u.
Final energy = -6.706 eV/atom

a = 10.7323 Å, b = 10.7323 Å, c = 10.7323 Å
α = 154.26°, β = 154.26°, γ = 36.73°
Closest atoms and distances in Å follow each position.
Atoms (fractional coordinates):
Y (0.3750, 0.6250, 0.7500)  4 Mg 3.38, 8 Ta 3.69
Y (0.6250, 0.3750, 0.2500)  4 Mg 3.38, 8 Ta 3.69
Mg (0.1250, 0.8750, 0.2500)  4 Ta 2.81
Mg (0.8750, 0.1250, 0.7500)  4 Ta 2.81
Ta (0.0000, 0.0000, 0.0000)  2 Ta 2.39
Ta (0.0000, 0.0000, 0.5000)  2 Ta 2.39
Ta (0.0000, 0.5000, 0.0000)  2 Ta 2.39
Ta (0.5000, 0.0000, 0.5000)  2 Ta 2.39